Entry 1:
First-principles (PBE) data for a geometry-optimized BaNa2H6Os structure, as listed in Alexandria via LeMat-Bulk.

Summary:
Mass density = 3.8 g/cm³
Total DFT energy (no corrections) = -38.48 eV/f.u.
Spin magnetization = 0.00 μB per formula unit

a b c (Å): 5.4584 5.4584 6.4473
angles (deg): 90.00 90.00 120.00
Element x y z (fractional)
Ba1 0.0000 0.0000 0.0000
Na1 0.3333 0.6667 0.4440
Na2 0.6667 0.3333 0.5560
H1 0.1486 0.2972 0.6587
H2 0.1486 0.8514 0.6587
H3 0.2972 0.1486 0.3413
H4 0.7028 0.8514 0.6587
H5 0.8514 0.1486 0.3413
H6 0.8514 0.7028 0.3413
Os1 0.0000 0.0000 0.5000

---

Entry 2:
First-principles (PBE) data for a geometry-optimized Zn2Cd2Ag structure, as listed in Alexandria via LeMat-Bulk.

Summary:
Mass density = 7.9 g/cm³
Total DFT energy (no corrections) = -6.79 eV/f.u.
Offset from the most stable computed form = 61 meV per atom
Spin magnetization = 0.00 μB per formula unit
Energy of formation from the pure elements = 0.088 eV per atom

a b c (Å): 6.8981 6.8981 4.0961
angles (deg): 90.00 90.00 90.00
Element x y z (fractional)
Zn1 0.1322 0.3678 0.0000
Zn2 0.3678 0.8678 0.0000
Zn3 0.6322 0.1322 0.0000
Zn4 0.8678 0.6322 0.0000
Cd1 0.1704 0.6704 0.5000
Cd2 0.3296 0.1704 0.5000
Cd3 0.6704 0.8296 0.5000
Cd4 0.8296 0.3296 0.5000
Ag1 0.0000 0.0000 0.0000
Ag2 0.5000 0.5000 0.0000

---

Entry 3:
First-principles (PBE) data for a geometry-optimized MnFePt2 structure, as listed in Alexandria via LeMat-Bulk.

Summary:
Mass density = 14.3 g/cm³
Total DFT energy (no corrections) = -30.80 eV/f.u.
Spin magnetization = 7.56 μB per formula unit
Energy of formation from the pure elements = -0.271 eV per atom

a b c (Å): 4.6248 4.6248 2.8099
angles (deg): 90.00 90.00 104.95
Element x y z (fractional)
Mn1 0.0000 0.0000 0.0000
Fe1 0.5000 0.5000 0.0000
Pt1 0.0000 0.5000 0.5000
Pt2 0.5000 0.0000 0.5000